! PBE+U Sr2La2MgMnO8, optimized geometry; values from VASP
! * N(E_F): 0.00 states/eV/f.u.
! * volume: 13.6 A^3/atom
! * SG: Pmm2 (25)
! * energy relative to the lowest polymorph listed for this composition: 0.0 kJ/mol of atoms
&SYSTEM
  ibrav = 0, nat = 28, ntyp = 5
/
ATOMIC_SPECIES
Sr 87.62 Sr.upf
La 138.91 La.upf
Mg 24.30 Mg.upf
Mn 54.94 Mn.upf
O 16.00 O.upf
CELL_PARAMETERS angstrom
5.500 0.000 0.000
0.000 5.504 0.000
0.000 0.000 12.589
ATOMIC_POSITIONS crystal
Sr 0.000 0.000 0.000
Sr 0.000 0.000 0.283
Sr 0.000 0.500 0.785
Sr 0.500 0.000 0.497
La 0.000 0.500 0.504
La 0.500 0.000 0.780
La 0.500 0.500 0.001
La 0.500 0.500 0.283
Mg 0.500 0.000 0.143
Mg 0.500 0.500 0.641
Mn 0.000 0.000 0.641
Mn 0.000 0.500 0.139
O 0.000 0.000 0.483
O 0.000 0.000 0.800
O 0.000 0.500 0.310
O 0.000 0.500 0.983
O 0.242 0.246 0.641
O 0.242 0.754 0.641
O 0.248 0.263 0.140
O 0.248 0.737 0.140
O 0.500 0.000 0.308
O 0.500 0.000 0.963
O 0.500 0.500 0.467
O 0.500 0.500 0.817
O 0.752 0.263 0.140
O 0.752 0.737 0.140
O 0.758 0.246 0.641
O 0.758 0.754 0.641